[1]
{"formula": "Al2CoRh", "functional": "PBE-GGA", "state": "relaxed", "cell": [[4.230, 0.000, 0.000], [2.115, 3.664, 0.000], [2.115, 1.221, 3.454]], "species": ["Co", "Rh", "Al", "Al"], "frac_coords": [[0.500, 0.500, 0.500], [0.750, 0.750, 0.750], [0.000, 0.000, 0.000], [0.250, 0.250, 0.250]], "energy_ev_per_cell": -23.3}


[2]
{"formula": "AlCo2Rh", "functional": "PBE-GGA", "state": "relaxed", "cell": [[4.470, 0.000, 0.000], [1.505, 4.209, 0.000], [-2.988, -2.105, 2.574]], "species": ["Co", "Co", "Rh", "Al"], "frac_coords": [[0.000, 0.000, 0.000], [0.500, 0.500, 0.000], [0.250, 0.750, 0.500], [0.750, 0.250, 0.500]], "energy_ev_per_cell": -26.3}


[3]
{"formula": "AlCoRh2", "functional": "PBE-GGA", "state": "relaxed", "cell": [[-0.820, -4.438, -2.022], [3.704, -1.751, -2.770], [-1.383, 1.485, 4.510]], "species": ["Co", "Rh", "Rh", "Al"], "frac_coords": [[0.250, 0.750, 0.500], [0.989, 0.989, 0.000], [0.511, 0.511, 0.000], [0.750, 0.250, 0.500]], "energy_ev_per_cell": -26.7}


[4]
{"formula": "AlCo3Rh", "functional": "PBE-GGA", "state": "relaxed", "cell": [[-2.550, 1.833, 2.761], [-0.525, -3.664, 1.947], [3.272, 0.840, 2.465]], "species": ["Co", "Co", "Co", "Rh", "Al"], "frac_coords": [[0.000, 0.500, 0.000], [0.000, 0.000, 0.500], [0.500, 0.000, 0.000], [0.500, 0.500, 0.500], [0.000, 0.000, 0.000]], "energy_ev_per_cell": -27.1}


[5]
{"formula": "AlCoRh3", "functional": "PBE-GGA", "state": "relaxed", "cell": [[-1.454, -1.209, -3.980], [-0.030, -4.213, 1.291], [-4.159, 0.453, 1.382]], "species": ["Co", "Rh", "Rh", "Rh", "Al"], "frac_coords": [[0.500, 0.500, 0.500], [0.000, 0.500, 0.000], [0.000, 0.000, 0.500], [0.500, 0.000, 0.000], [0.000, 0.000, 0.000]], "energy_ev_per_cell": -28.7}


[6]
{"formula": "Al2CoRh", "functional": "PBE-GGA", "state": "relaxed", "cell": [[-4.747, 0.823, -6.304], [-2.596, -0.593, -7.474], [-4.642, -1.998, -6.116]], "species": ["Rh", "Co", "Al", "Al"], "frac_coords": [[0.750, 0.750, 0.750], [0.250, 0.250, 0.250], [0.997, 0.997, 0.997], [0.503, 0.503, 0.503]], "energy_ev_per_cell": -23.8}